Density functional theory data (PBE) for crystalline MnAlB at its relaxed geometry.

```
MnAlB
1.0
3.722 0.000 0.000
-1.861 3.224 0.000
0.000 0.000 5.381
Mn Al B
2 2 2
direct
0.333 0.667 0.371
0.667 0.333 0.629
0.333 0.667 0.862
0.667 0.333 0.138
0.000 0.000 0.335
0.000 0.000 0.665
```

For the raw total energy, the calculation gives -0.4786 Ry/atom. The value obtained for the energy above the lowest structure with this stoichiometry is 326 meV/atom. As for the formation energy from the elements: 0.018 eV/atom.

***

Density functional theory data (PBE) for crystalline MnAlB at its relaxed geometry.

```
MnAlB
1.0
3.791 -1.468 0.000
3.791 1.468 0.000
-0.135 0.000 5.643
Mn Al B
2 2 2
direct
0.146 0.146 0.146
0.854 0.854 0.854
0.142 0.142 0.624
0.858 0.858 0.376
0.424 0.424 0.108
0.576 0.576 0.892
```

For the raw total energy, the calculation gives -0.5026 Ry/atom. The value obtained for the energy above the lowest structure with this stoichiometry is 0 meV/atom. As for the formation energy from the elements: -0.308 eV/atom.

***

Density functional theory data (PBE) for crystalline MnAlB3 at its relaxed geometry.

```
MnAlB3
1.0
3.994 0.000 0.000
0.000 3.994 0.000
0.000 0.000 3.994
Mn Al B
1 1 3
direct
0.000 0.000 0.000
0.500 0.500 0.500
0.000 0.500 0.500
0.500 0.000 0.500
0.500 0.500 0.000
```

For the raw total energy, the calculation gives -0.3242 Ry/atom. The value obtained for the energy above the lowest structure with this stoichiometry is 1320 meV/atom. As for the formation energy from the elements: 2.178 eV/atom.